# 1
SbRuPb, optimized geometry, DFT PBE; formation energy without anion corrections = 0.1 eV per formula unit; excess energy over the best structure of this formula in the dataset = 0.000 eV per atom
1.0
-1.881 1.035 2.454
0.021 -3.492 3.650
7.350 3.815 4.102
Pb Ru Sb
2 2 2
direct
0.384 0.746 0.111
0.616 0.254 0.889
0.916 0.673 0.363
0.084 0.327 0.637
0.636 0.231 0.395
0.364 0.769 0.605

---

# 2
TiSiTcNi, optimized geometry, DFT PBE; formation energy without anion corrections = -2.2 eV per formula unit
1.0
4.205 0.000 0.000
2.103 3.642 0.000
2.103 1.214 3.434
Si Ni Ti Tc
1 1 1 1
direct
0.250 0.250 0.250
0.500 0.500 0.500
0.750 0.750 0.750
0.000 0.000 0.000

---

# 3
Sc2PtAu, optimized geometry, DFT PBE; energy of formation = -0.88 eV per atom
1.0
3.757 0.000 0.000
0.000 3.755 0.000
0.000 0.000 5.730
Sc Au Pt
2 1 1
direct
0.500 0.500 0.298
0.000 0.000 0.934
0.000 0.000 0.448
0.500 0.500 0.819

---

Calculated values (eV per atom) of energy for the records, taken in order: -5.684 -7.909 -6.380.